GGA-PBE Sm6Se5, optimized geometry; SG = C2/m, No. 12; magnetization = 0.00 μB/f.u.; raw formation energy = -1.637 eV/atom; V = 27.32 Å³ per atom
1.0
3.595 -6.178 0.000
3.595 6.178 0.000
-2.382 0.000 6.766
Sm Se
6 5
Cartesian
1.196 2.072 1.682
0.025 0.000 5.034
1.196 -2.072 1.682
3.613 2.072 5.083
4.784 0.000 1.731
3.613 -2.072 5.083
2.404 4.082 3.383
3.595 2.038 0.000
2.404 0.000 3.383
3.595 -2.038 0.000
2.404 -4.082 3.383